# 1
Cd2HgGePt after structural relaxation, computed with GGA-PBE.

abc: 5.3490 5.3490 4.6572
angles: 90.00 90.00 90.00
Closest atoms and distances in Å follow each position.
Fractional coordinates of all 5 atoms:
Cd (0.0000, 0.5000, 0.0000)  2 Pt 2.67
Cd (0.5000, 0.0000, 0.0000)  2 Pt 2.67
Hg (0.0000, 0.0000, 0.5000)  8 Cd 3.55, 4 Ge 3.78
Ge (0.5000, 0.5000, 0.5000)  2 Pt 2.33
Pt (0.5000, 0.5000, 0.0000)  2 Ge 2.33

Final energy: -2.66 eV/atom
Total magnetic moment: 0.0 μB/f.u.
E_form: -0.105 eV/atom
Fermi-level density of states: 0.91 states/eV per cell
Crystal system: tetragonal



# 2
AcDy6Y2 after structural relaxation, computed with GGA-PBE.

abc: 3.6336 3.6336 26.4777
angles: 90.00 90.00 120.00
Closest atoms and distances in Å follow each position.
Fractional coordinates of all 9 atoms:
Ac (0.0000, 0.0000, 0.0000)  6 Ac 3.63, 6 Dy 3.76
Dy (0.0000, 0.0000, 0.2231)  9 Dy 3.49-3.63, 3 Y 3.55
Dy (0.0000, 0.0000, 0.4361)  7 Dy 3.38-3.63, 3 Y 3.48
Dy (0.0000, 0.0000, 0.5639)  7 Dy 3.38-3.63, 3 Y 3.48
Dy (0.0000, 0.0000, 0.7769)  9 Dy 3.49-3.63, 3 Y 3.55
Dy (0.3333, 0.6667, 0.1177)  9 Dy 3.49-3.63, 3 Ac 3.76
Dy (0.3333, 0.6667, 0.8823)  9 Dy 3.49-3.63, 3 Ac 3.76
Y (0.3333, 0.6667, 0.3312)  6 Dy 3.48-3.55, 6 Y 3.63
Y (0.3333, 0.6667, 0.6688)  6 Dy 3.48-3.55, 6 Y 3.63

Final energy: -4.88 eV/atom
Total magnetic moment: 1.5 μB/f.u.
E_form: 0.078 eV/atom
Fermi-level density of states: 15.92 states/eV per cell
Crystal system: hexagonal



# 3
CdHPd4Pb after structural relaxation, computed with GGA-PBE.

abc: 7.5411 7.5411 5.7165
angles: 90.00 90.00 135.63
Closest atoms and distances in Å follow each position.
Fractional coordinates of all 14 atoms:
Cd (0.0988, 0.9012, 0.7500)  9 Pd 2.76-2.92
Cd (0.9012, 0.0988, 0.2500)  9 Pd 2.76-2.92
H (0.2435, 0.7565, 0.2500)  6 Pd 2.02-2.13
H (0.7565, 0.2435, 0.7500)  6 Pd 2.02-2.13
Pd (0.0000, 0.5000, 0.0000)  2 H 2.02
Pd (0.0000, 0.5000, 0.5000)  2 H 2.02
Pd (0.0991, 0.9009, 0.2500)  1 H 2.02
Pd (0.3963, 0.6037, 0.2500)  1 H 2.13
Pd (0.5000, 0.0000, 0.0000)  2 H 2.02
Pd (0.5000, 0.0000, 0.5000)  2 H 2.02
Pd (0.6037, 0.3963, 0.7500)  1 H 2.13
Pd (0.9009, 0.0991, 0.7500)  1 H 2.02
Pb (0.4064, 0.5936, 0.7500)  9 Pd 2.76-2.97
Pb (0.5936, 0.4064, 0.2500)  9 Pd 2.76-2.97

Final energy: -4.32 eV/atom
Total magnetic moment: 0.0 μB/f.u.
Fermi-level density of states: 4.94 states/eV per cell
Crystal system: orthorhombic



# 4
SiN after structural relaxation, computed with GGA-PBE.

abc: 2.8410 2.8410 3.3051
angles: 113.12 113.12 60.37
Closest atoms and distances in Å follow each position.
Fractional coordinates of all 2 atoms:
Si (0.0000, 0.0000, 0.0000)  3 N 1.84-1.85
N (0.2463, 0.2463, 0.7153)  3 Si 1.84-1.85

Energy relative to the lowest polymorph listed for this composition: 67.4 kJ per mole of atoms
Final energy: -6.93 eV/atom
Total magnetic moment: 0.0 μB/f.u.
Energy relative to the elements, uncorrected: -0.0526 eV per atom
Fermi-level density of states: 0.52 states/eV per cell
Crystal system: monoclinic



Question: Fermi-level density of states of number 1 (Cd2HgGePt)?
Answer: 0.91 states/eV per cell